[1]
{
  "formula": "Pa2ReSnN6",
  "functional": "GGA-PBE",
  "state": "relaxed",
  "raw_formation_energy_kj_per_mol_atoms": -45,
  "volume_a3_per_atom": 14.81,
  "energy_ev_per_atom": -9.006,
  "lattice": [[-1.4877, 4.6910, -1.1034], [-1.7585, -1.6955, -4.8373], [-4.8702, -1.0421, 2.1358]],
  "species": ["Pa", "Pa", "Re", "Sn", "N", "N", "N", "N", "N", "N"],
  "fractional_positions": [[0.9790, 0.5000, 0.0000], [0.9790, 0.0000, 0.5000], [0.5781, 0.0000, 0.0000], [0.5593, 0.5000, 0.5000], [0.7428, 0.2432, 0.2432], [0.7428, 0.2432, 0.7568], [0.1587, 0.5000, 0.5000], [0.2213, 0.0000, 0.0000], [0.7428, 0.7568, 0.7568], [0.7428, 0.7568, 0.2432]]
}

***

[2]
{
  "formula": "PaReSnN4",
  "functional": "GGA-PBE",
  "state": "relaxed",
  "raw_formation_energy_kj_per_mol_atoms": -37,
  "volume_a3_per_atom": 16.91,
  "energy_ev_per_atom": -8.843,
  "lattice": [[-5.9925, 0.4666, -0.3697], [-0.3745, -5.5475, -0.9306], [3.3280, -1.4162, 7.1028]],
  "species": ["Pa", "Pa", "Re", "Re", "Sn", "Sn", "N", "N", "N", "N", "N", "N", "N", "N"],
  "fractional_positions": [[0.7659, 0.7500, 0.4687], [0.2341, 0.2500, 0.5313], [0.1646, 0.7500, 0.3054], [0.8354, 0.2500, 0.6946], [0.3646, 0.7500, 0.8917], [0.6354, 0.2500, 0.1083], [0.0652, 0.4988, 0.6915], [0.9348, 0.9988, 0.3085], [0.9348, 0.5012, 0.3085], [0.0652, 0.0012, 0.6915], [0.3154, 0.7500, 0.1590], [0.6846, 0.2500, 0.8410], [0.4394, 0.7500, 0.5442], [0.5606, 0.2500, 0.4558]]
}

***

[3]
{
  "formula": "SrPa3Re4N12",
  "functional": "GGA-PBE",
  "state": "relaxed",
  "raw_formation_energy_kj_per_mol_atoms": -46,
  "volume_a3_per_atom": 17.58,
  "energy_ev_per_atom": -9.468,
  "lattice": [[-4.4473, -0.8375, 5.7133], [6.5601, 0.6635, 3.1060], [-1.4545, 6.7829, -2.2358]],
  "species": ["Sr", "Pa", "Pa", "Pa", "Re", "Re", "Re", "Re", "N", "N", "N", "N", "N", "N", "N", "N", "N", "N", "N", "N"],
  "fractional_positions": [[0.0000, 0.0000, 0.0000], [0.5559, 0.4441, 0.0000], [0.4441, 0.0000, 0.5559], [0.0000, 0.5559, 0.4441], [0.9438, 0.0562, 0.5000], [0.0562, 0.5000, 0.9438], [0.5000, 0.9438, 0.0562], [0.5000, 0.5000, 0.5000], [0.5000, 0.3404, 0.6596], [0.8963, 0.5000, 0.1037], [0.1037, 0.8963, 0.5000], [0.5000, 0.1037, 0.8963], [0.3664, 0.9762, 0.2360], [0.2360, 0.3664, 0.9762], [0.9762, 0.2360, 0.3664], [0.6336, 0.7640, 0.0238], [0.0238, 0.6336, 0.7640], [0.7640, 0.0238, 0.6336], [0.6596, 0.5000, 0.3404], [0.3404, 0.6596, 0.5000]]
}

***

[4]
{
  "formula": "SrPa2ReN5",
  "functional": "GGA-PBE",
  "state": "relaxed",
  "raw_formation_energy_kj_per_mol_atoms": -105,
  "volume_a3_per_atom": 14.43,
  "energy_ev_per_atom": -9.393,
  "lattice": [[6.7007, 0.0000, 0.0000], [0.0000, 6.7007, 0.0000], [-3.3503, -3.3503, 5.7841]],
  "species": ["Sr", "Sr", "Pa", "Pa", "Pa", "Pa", "Re", "Re", "N", "N", "N", "N", "N", "N", "N", "N", "N", "N"],
  "fractional_positions": [[0.2500, 0.2500, 0.5000], [0.7500, 0.7500, 0.5000], [0.1820, 0.3180, 0.0000], [0.6820, 0.1820, 0.0000], [0.3180, 0.8180, 0.0000], [0.8180, 0.6820, 0.0000], [0.2500, 0.7500, 0.5000], [0.7500, 0.2500, 0.5000], [0.9882, 0.4882, 0.2628], [0.7254, 0.2254, 0.7372], [0.0118, 0.5118, 0.7372], [0.2254, 0.0118, 0.7372], [0.5118, 0.7254, 0.7372], [0.7746, 0.9882, 0.2628], [0.4882, 0.2746, 0.2628], [0.2746, 0.7746, 0.2628], [0.5000, 0.5000, 0.0000], [0.0000, 0.0000, 0.0000]]
}